Entry 1:
Compound: ZrTa2Mn9
Source: Alexandria via LeMat-Bulk
Functional: PBE
Structure: optimized geometry

Cell lengths 4.7910, 4.7910, 8.3541 Å; angles 73.34, 73.34, 60.00 degrees
Element x y z (fractional)
Mn: 0.4099 0.4099 0.2530
Mn: 0.6614 0.6614 0.0158
Mn: 0.5000 0.5000 0.5000
Mn: 0.5901 0.0729 0.7470
Mn: 0.9271 0.4099 0.2530
Mn: 0.3386 0.3386 0.9842
Mn: 0.0729 0.5901 0.7470
Mn: 0.5901 0.5901 0.7470
Mn: 0.4099 0.9271 0.2530
Zr: 0.0000 0.0000 0.0000
Ta: 0.1414 0.1414 0.5758
Ta: 0.8586 0.8586 0.4242

The uncorrected energy is -9.697 eV per atom. Its space-group type is No. 166. The calculation puts the formation energy at -132.2 meV per atom.



Entry 2:
Compound: H3PbF6
Source: Alexandria via LeMat-Bulk
Functional: PBE
Structure: optimized geometry

Cell lengths 8.7948, 8.7948, 8.7948 Å; angles 45.77, 45.77, 45.77 degrees
Element x y z (fractional)
F: 0.5427 0.6374 0.1638
F: 0.2214 0.5919 0.0446
F: 0.4573 0.3626 0.8362
F: 0.5919 0.0446 0.2214
F: 0.7786 0.4081 0.9554
F: 0.8362 0.4573 0.3626
F: 0.1638 0.5427 0.6374
F: 0.4081 0.9554 0.7786
F: 0.9554 0.7786 0.4081
F: 0.0446 0.2214 0.5919
F: 0.6374 0.1638 0.5427
F: 0.3626 0.8362 0.4573
Pb: 0.5000 0.5000 0.5000
Pb: 0.0000 0.0000 0.0000
H: 0.9554 0.3211 0.4973
H: 0.4973 0.9554 0.3211
H: 0.0446 0.6789 0.5027
H: 0.6789 0.5027 0.0446
H: 0.5027 0.0446 0.6789
H: 0.3211 0.4973 0.9554

The energy above the most stable polymorph in this dataset comes out at 0.000 eV per atom. The uncorrected energy is -4.295 eV per atom. Its space-group type is No. 148.